Material: InW2Au
Method: DFT, GGA-PBE
State: relaxed

Its total energy is -7.645 eV/atom. The calculation puts the total magnetization at 0.00 μB/cell. The calculation puts the formation enthalpy at 0 K at 129 kJ/mol of formula units. As for the density of states at the Fermi level: 1.231 states/eV/f.u.

Cell lengths 2.8888, 2.8888, 9.2681 Å; angles 90.00, 90.00, 110.97 degrees
Sites, in units of the cell vectors:
1 In 0.0000 0.0000 0.0000
2 W 0.0000 0.0000 0.4835
3 W 0.5000 0.5000 0.2616
4 Au 0.5000 0.5000 0.7341